# Sm3S3Cl2

A relaxed structure of Sm3S3Cl2 (PBE, the Alexandria database).

* formation energy from raw total energies: -14.5 eV per formula unit
* V: 175.6 Å³/cell
* space-group type: Immm

a b c (Å): 3.7389 4.4242 11.0044
angles (deg): 101.60 99.78 90.00
Positions (direct):
S 0.6150 0.6150 0.2300
S 0.3850 0.3850 0.7700
S 0.5000 0.0000 0.0000
Sm 0.0000 0.5000 0.0000
Sm 0.8452 0.8452 0.6904
Sm 0.1548 0.1548 0.3096
Cl 0.2437 0.7437 0.4875
Cl 0.7563 0.2563 0.5125